1.
A geometry-optimized AcPaTe6 structure. Source: Alexandria, functional PBE-GGA.

Lattice parameters (Å, degrees): 4.486 4.484 26.786 90.00 90.00 90.00
Fractional positions:
Ac 0.000 0.000 0.000
Ac 0.000 0.500 0.500
Pa 0.500 0.000 0.336
Pa 0.500 0.500 0.836
Te 0.000 0.000 0.251
Te 0.000 0.000 0.597
Te 0.000 0.000 0.870
Te 0.000 0.500 0.097
Te 0.000 0.500 0.370
Te 0.000 0.500 0.751
Te 0.500 0.000 0.097
Te 0.500 0.000 0.457
Te 0.500 0.000 0.751
Te 0.500 0.500 0.251
Te 0.500 0.500 0.597
Te 0.500 0.500 0.957

The calculation puts the electronic total energy at -4.93 eV per atom. The formation energy without anion corrections is -0.878 eV/atom.


2.
A geometry-optimized AcPaTe2 structure. Source: Alexandria, functional PBE-GGA.

Lattice parameters (Å, degrees): 4.188 4.188 31.431 90.00 90.00 120.00
Fractional positions:
Ac 0.000 0.000 0.000
Ac 0.333 0.667 0.667
Ac 0.667 0.333 0.333
Pa 0.000 0.000 0.500
Pa 0.333 0.667 0.167
Pa 0.667 0.333 0.833
Te 0.000 0.000 0.105
Te 0.000 0.000 0.895
Te 0.333 0.667 0.562
Te 0.333 0.667 0.771
Te 0.667 0.333 0.229
Te 0.667 0.333 0.438

The calculation puts the electronic total energy at -5.58 eV per atom. The formation energy without anion corrections is -0.610 eV/atom.


3.
A geometry-optimized AcPa2Te6 structure. Source: Alexandria, functional PBE-GGA.

Lattice parameters (Å, degrees): 8.108 8.108 10.332 123.20 123.20 43.02
Fractional positions:
Ac 0.000 0.000 0.000
Pa 0.184 0.184 0.598
Pa 0.816 0.816 0.402
Te 0.042 0.042 0.716
Te 0.270 0.270 0.386
Te 0.361 0.361 0.940
Te 0.639 0.639 0.060
Te 0.730 0.730 0.614
Te 0.958 0.958 0.284

The calculation puts the electronic total energy at -5.57 eV per atom. The formation energy without anion corrections is -0.911 eV/atom.


Q: What is the formation energy without anion corrections in the first record?
A: -0.878 eV/atom